## MgInFe2 (PBE-GGA)

Data for MgInFe2 after structural relaxation.

```
data_MgInFe2
_space_group_name_H-M_alt 'R -3 m'
_space_group_IT_number 166
_space_group_name_Hall '-R 3 2"'
_cell_length_a 2.8951
_cell_length_b 2.8951
_cell_length_c 26.9880
_cell_angle_alpha 90.00
_cell_angle_beta 90.00
_cell_angle_gamma 120.00
loop_
_atom_site_label
_atom_site_fract_x
_atom_site_fract_y
_atom_site_fract_z
Mg1 0.0000 0.0000 0.0000
In1 0.0000 0.0000 0.5000
Fe1 0.0000 0.0000 0.2504
```

Calculated formation energy = 0.402 eV per atom
Electronic total energy = -4.913 eV/atom
Total moment = 4.7 μB/f.u.